(1)
A geometry-optimized Nd4SnAs2Se structure, computed with PBE-GGA.

The structure belongs to space group P2/m (No. 10); the cell edges are 7.524, 4.282 and 7.546 Å and the angles 90.00°, 109.06° and 90.00°. The asymmetric unit holds Nd at (0.240, 0.000, 0.237), Nd at (0.252, 0.500, 0.762), Sn at (0.500, 0.500, 0.500), As at (0.000, 0.500, 0.000), As at (0.500, 0.000, 0.000) and Se at (0.000, 0.000, 0.500).

The electronic total energy is -5.889 eV per atom. Its density is 6.7 Mg/m³. As for the total magnetization: 0.00 μB/f.u. The value obtained for the formation energy from raw total energies is -1407 meV per atom.

***

(2)
A geometry-optimized CrHg2Cl structure, computed with PBE-GGA.

The structure belongs to space group R3m (No. 160, hexagonal axes); the cell edges are 3.6416, 3.6416 and 26.3059 Å and the angles 90.00°, 90.00° and 120.00°. The asymmetric unit holds Cr at (0.0000, 0.0000, 0.0000), Hg at (0.0000, 0.0000, 0.2581), Hg at (0.0000, 0.0000, 0.5017) and Cl at (0.0000, 0.0000, 0.7192).

The electronic total energy is -3.102 eV per atom. Its density is 8.1 Mg/m³. As for the total magnetization: 4.61 μB/f.u. The value obtained for the formation energy from raw total energies is -84 meV per atom. The energy above the most stable polymorph in this dataset is 4.5 kJ/mol of formula units.

***

(3)
A geometry-optimized YPu2Sc3Se6 structure, computed with PBE-GGA.

The structure belongs to space group C2/m (No. 12); the cell edges are 6.891, 11.946 and 6.973 Å and the angles 90.00°, 109.27° and 90.00°. The asymmetric unit holds Y at (0.000, 0.000, 0.000), Pu at (0.000, 0.333, 0.000), Sc at (0.000, 0.167, 0.500), Sc at (0.000, 0.500, 0.500), Se at (0.242, 0.000, 0.731) and Se at (0.245, 0.334, 0.732).

The electronic total energy is -7.866 eV per atom. Its density is 7.3 Mg/m³. As for the total magnetization: 11.76 μB/f.u. The value obtained for the formation energy from raw total energies is -1614 meV per atom.

***

(4)
A geometry-optimized NaAsIrBr2 structure, computed with PBE-GGA.

The structure belongs to space group P4/mmm (No. 123); the cell edges are 5.518, 5.518 and 4.581 Å and the angles 90.00°, 90.00° and 90.00°. The asymmetric unit holds Na at (0.000, 0.000, 0.000), As at (0.500, 0.500, 0.000), Ir at (0.500, 0.500, 0.500) and Br at (0.000, 0.500, 0.500).

The electronic total energy is -3.824 eV per atom. Its density is 5.4 Mg/m³. As for the total magnetization: 0.00 μB/f.u. The value obtained for the formation energy from raw total energies is -189 meV per atom. The energy above the most stable polymorph in this dataset is 0.0 kJ/mol of formula units.

***

(5)
A geometry-optimized Tb6SmDy2Ho structure, computed with PBE-GGA.

The structure belongs to space group C2/c (No. 15); the cell edges are 9.070, 15.050 and 9.572 Å and the angles 90.00°, 97.56° and 90.00°. The asymmetric unit holds Tb at (0.063, 0.186, 0.444), Tb at (0.101, 0.392, 0.620), Tb at (0.207, 0.225, 0.816), Sm at (0.000, 0.024, 0.750), Dy at (0.250, 0.052, 0.045) and Ho at (0.000, 0.409, 0.250).

The formation energy is 119 meV/atom. The electronic total energy is -4.509 eV per atom. Its density is 8.2 Mg/m³. As for the total magnetization: 0.00 μB/f.u.

***

(6)
A geometry-optimized MgInHg2 structure, computed with PBE-GGA.

The structure belongs to space group C2/m (No. 12); the cell edges are 6.342, 10.597 and 3.444 Å and the angles 90.00°, 121.38° and 90.00°. The asymmetric unit holds Mg at (0.000, 0.000, 0.000), In at (0.000, 0.500, 0.000) and Hg at (0.250, 0.250, 0.500).

The formation energy is -40 meV/atom. The electronic total energy is -1.274 eV per atom. Its density is 9.1 Mg/m³. As for the total magnetization: 0.00 μB/f.u.

***

(7)
A geometry-optimized Dy4CuIr3 structure, computed with PBE-GGA.

The structure belongs to space group P4/mmm (No. 123); the cell edges are 4.922, 4.922 and 6.715 Å and the angles 90.00°, 90.00° and 90.00°. The asymmetric unit holds Dy at (0.000, 0.500, 0.246), Cu at (0.000, 0.000, 0.500), Ir at (0.000, 0.000, 0.000), Ir at (0.500, 0.500, 0.000) and Ir at (0.500, 0.500, 0.500).

The formation energy is -696 meV/atom. The electronic total energy is -6.832 eV per atom. Its density is 13.2 Mg/m³. As for the total magnetization: 0.00 μB/f.u.

***

(8)
A geometry-optimized TbPm2Dy structure, computed with PBE-GGA.

The structure belongs to space group P4/mmm (No. 123); the cell edges are 5.101, 5.101 and 5.067 Å and the angles 90.00°, 90.00° and 90.00°. The asymmetric unit holds Tb at (0.000, 0.000, 0.000), Pm at (0.000, 0.500, 0.500) and Dy at (0.500, 0.500, 0.000).

The formation energy is 18 meV/atom. The electronic total energy is -4.665 eV per atom. Its density is 7.7 Mg/m³. As for the total magnetization: 0.00 μB/f.u. The energy above the most stable polymorph in this dataset is 2.5 kJ/mol of formula units.

***

(9)
A geometry-optimized Sr2YHgN structure, computed with PBE-GGA.

The structure belongs to space group P4/mmm (No. 123); the cell edges are 5.383, 5.383 and 4.662 Å and the angles 90.00°, 90.00° and 90.00°. The asymmetric unit holds Sr at (0.000, 0.500, 0.000), Y at (0.000, 0.000, 0.500), Hg at (0.500, 0.500, 0.500) and N at (0.000, 0.000, 0.000).

The electronic total energy is -4.318 eV per atom. Its density is 5.9 Mg/m³. As for the total magnetization: 0.00 μB/f.u. The value obtained for the formation energy from raw total energies is -627 meV per atom.

***

(10)
A geometry-optimized Pm15YEr4 structure, computed with PBE-GGA.

The structure belongs to space group P4/mmm (No. 123); the cell edges are 5.124, 5.124 and 25.509 Å and the angles 90.00°, 90.00° and 90.00°. The asymmetric unit holds Pm at (0.000, 0.000, 0.000), Pm at (0.000, 0.000, 0.200), Pm at (0.000, 0.000, 0.400), Pm at (0.000, 0.500, 0.101), Pm at (0.000, 0.500, 0.300), Pm at (0.000, 0.500, 0.500), Y at (0.500, 0.500, 0.000), Er at (0.500, 0.500, 0.200) and Er at (0.500, 0.500, 0.400).

The formation energy is 12 meV/atom. The electronic total energy is -4.786 eV per atom. Its density is 7.3 Mg/m³. As for the total magnetization: 0.00 μB/f.u.

***

(11)
A geometry-optimized TbPm2NpSb4 structure, computed with PBE-GGA.

The structure belongs to space group P2/m (No. 10); the cell edges are 7.699, 4.444 and 7.704 Å and the angles 90.00°, 109.31° and 90.00°. The asymmetric unit holds Tb at (0.000, 0.000, 0.000), Pm at (0.000, 0.500, 0.500), Pm at (0.500, 0.000, 0.500), Np at (0.500, 0.500, 0.000), Sb at (0.249, 0.500, 0.243) and Sb at (0.252, 0.000, 0.756).

The electronic total energy is -6.367 eV per atom. Its density is 7.8 Mg/m³. As for the total magnetization: 3.89 μB/f.u. The value obtained for the formation energy from raw total energies is -922 meV per atom.

***

(12)
A geometry-optimized CdIn3Sn structure, computed with PBE-GGA.

The structure belongs to space group Pm-3m (No. 221); the cell edges are 5.493, 5.493 and 5.493 Å and the angles 90.00°, 90.00° and 90.00°. The asymmetric unit holds Cd at (0.000, 0.000, 0.000), In at (0.000, 0.000, 0.500) and Sn at (0.500, 0.500, 0.500).

The formation energy is 419 meV/atom. The electronic total energy is -2.208 eV per atom. Its density is 5.8 Mg/m³. As for the total magnetization: 0.00 μB/f.u. The energy above the most stable polymorph in this dataset is 188.5 kJ/mol of formula units.